Arrangement P

The following is a DFT calculation (GGA-PBE) of an optimized crystal structure of RbNaH.

As for the spin magnetization: 0.000 μB per atom.

The structure belongs to space group C2/m (No. 12); the cell edges are 14.7068, 4.3682 and 6.6258 Å and the angles 90.00°, 116.55° and 90.00°. The asymmetric unit holds Rb at (0.0947, 0.0000, 0.3437), Na at (0.1347, 0.5000, 0.8837), H at (0.0000, 0.5000, 0.0000) and H at (0.0000, 0.5000, 0.5000).

---

Arrangement Q

The following is a DFT calculation (GGA-PBE) of an optimized crystal structure of RbNaH.

As for the spin magnetization: 0.000 μB per atom.

The structure belongs to space group I4mm (No. 107); the cell edges are 3.6235, 3.6235 and 14.6114 Å and the angles 90.00°, 90.00° and 90.00°. The asymmetric unit holds Rb at (0.0000, 0.0000, 0.0000), Na at (0.0000, 0.0000, 0.2395) and H at (0.0000, 0.0000, 0.5903).

---

Arrangement R

The following is a DFT calculation (GGA-PBE) of an optimized crystal structure of RbNaH.

As for the spin magnetization: 0.000 μB per atom.

The structure belongs to space group P3m1 (No. 156); the cell edges are 3.9652, 3.9652 and 7.0668 Å and the angles 90.00°, 90.00° and 120.00°. The asymmetric unit holds Rb at (0.0000, 0.0000, 0.0000), Na at (0.3333, 0.6667, 0.4601) and H at (0.6667, 0.3333, 0.2522).

---

Arrangement S

The following is a DFT calculation (GGA-PBE) of an optimized crystal structure of RbNaH.

As for the spin magnetization: 0.000 μB per atom.

The structure belongs to space group P4/mmm (No. 123); the cell edges are 4.6967, 4.6967 and 9.1338 Å and the angles 90.00°, 90.00° and 90.00°. The asymmetric unit holds Rb at (0.0000, 0.0000, 0.2060), Na at (0.5000, 0.5000, 0.0000), Na at (0.5000, 0.5000, 0.5000) and H at (0.0000, 0.5000, 0.0000).

---

Q: Which of them is the least stable? A: arrangement Q.

---

Arrangement P

The following is a DFT calculation (GGA-PBE) of an optimized crystal structure of RbNaH2.

As for the spin magnetization: 0.000 μB per atom.

The structure belongs to space group P4/mmm (No. 123); the cell edges are 3.9213, 3.9213 and 5.5367 Å and the angles 90.00°, 90.00° and 90.00°. The asymmetric unit holds Rb at (0.0000, 0.0000, 0.0000), Na at (0.5000, 0.5000, 0.5000), H at (0.0000, 0.0000, 0.5000) and H at (0.5000, 0.5000, 0.0000).

---

Arrangement Q

The following is a DFT calculation (GGA-PBE) of an optimized crystal structure of RbNaH2.

As for the spin magnetization: 0.000 μB per atom.

The structure belongs to space group R3m (No. 160, hexagonal axes); the cell edges are 3.7210, 3.7210 and 19.6829 Å and the angles 90.00°, 90.00° and 120.00°. The asymmetric unit holds Rb at (0.0000, 0.0000, 0.0000), Na at (0.0000, 0.0000, 0.1697), H at (0.0000, 0.0000, 0.5721) and H at (0.0000, 0.0000, 0.7652).

---

Q: Which of them is the least stable? A: arrangement P.

---

Arrangement P

The following is a DFT calculation (GGA-PBE) of an optimized crystal structure of RbNaH2.

As for the spin magnetization: 0.000 μB per atom.

The structure belongs to space group Fm-3m (No. 225); the cell edges are 6.7224, 6.7224 and 6.7224 Å and the angles 90.00°, 90.00° and 90.00°. The asymmetric unit holds Rb at (0.0000, 0.0000, 0.0000), Na at (0.0000, 0.0000, 0.5000) and H at (0.2500, 0.2500, 0.2500).

---

Arrangement Q

The following is a DFT calculation (GGA-PBE) of an optimized crystal structure of RbNaH2.

As for the spin magnetization: 0.000 μB per atom.

The structure belongs to space group I-42d (No. 122); the cell edges are 6.5567, 6.5567 and 8.0967 Å and the angles 90.00°, 90.00° and 90.00°. The asymmetric unit holds Rb at (0.0000, 0.0000, 0.0000), Na at (0.0000, 0.0000, 0.5000) and H at (0.1773, 0.2500, 0.6250).

---

Arrangement R

The following is a DFT calculation (GGA-PBE) of an optimized crystal structure of RbNaH2.

As for the spin magnetization: 0.000 μB per atom.

The structure belongs to space group P2_1/c (No. 14); the cell edges are 7.1244, 7.4531 and 6.3934 Å and the angles 90.00°, 104.39° and 90.00°. The asymmetric unit holds Rb at (0.1693, 0.0833, 0.3050), Na at (0.3670, 0.6652, 0.3547), H at (0.1361, 0.7458, 0.5331) and H at (0.4310, 0.1223, 0.7656).

---

Arrangement S

The following is a DFT calculation (GGA-PBE) of an optimized crystal structure of RbNaH2.

As for the spin magnetization: 0.000 μB per atom.

The structure belongs to space group P4/mmm (No. 123); the cell edges are 3.2823, 3.2823 and 6.6582 Å and the angles 90.00°, 90.00° and 90.00°. The asymmetric unit holds Rb at (0.0000, 0.0000, 0.0000), Na at (0.0000, 0.0000, 0.5000) and H at (0.5000, 0.5000, 0.2746).

---

Q: Which of them is the least stable? A: arrangement P.